The following is a PBE-GGA calculation of a geometry-optimized BiPdS2N structure, from Alexandria via LeMat-Bulk.

Summary:
formation energy from raw total energies	1.349	eV/atom
energy above the lowest structure with this stoichiometry	3.98	eV per formula unit
M_tot	3.0	μB per cell
space-group type	P4/mmm, No. 123
DOS(E_F)	3.12	states/eV/cell

Lattice parameters (Å, degrees): 5.240 5.240 4.353 90.00 90.00 90.00
Atoms (fractional coordinates):
Bi 0.000 0.000 0.000
Pd 0.500 0.500 0.500
S 0.000 0.500 0.000
S 0.500 0.000 0.000
N 0.000 0.000 0.500

The following is a PBE-GGA calculation of a geometry-optimized BiPdSN2 structure, from Alexandria via LeMat-Bulk.

Summary:
formation energy from raw total energies	1.773	eV/atom
energy above the lowest structure with this stoichiometry	2.90	eV per formula unit
M_tot	2.9	μB per cell
space-group type	P4/mmm, No. 123
DOS(E_F)	2.67	states/eV/cell

Lattice parameters (Å, degrees): 4.267 4.267 5.438 90.00 90.00 90.00
Atoms (fractional coordinates):
Bi 0.000 0.000 0.000
Pd 0.500 0.500 0.500
S 0.000 0.000 0.500
N 0.000 0.500 0.000
N 0.500 0.000 0.000